Computed, not measured: an optimized crystal structure of CrCd2Tc at the PBE-GGA level of DFT.

Properties
- Symmetry: No. 12
- N(E_F): 3.2 states/eV per cell
- Energy above the most stable polymorph in this dataset: 0.333 eV/atom
- Theoretical density: 8.94 g cm⁻³

Unit cell a=5.2635 b=5.4905 c=2.8316 alpha=80.36 beta=79.14 gamma=115.51
Site moments in Bohr magnetons follow the coordinates.
Atoms (fractional coordinates):
Cd 0.0000 0.0000 0.0000  -0.01
Cd 0.5000 0.0000 0.5000  -0.01
Cr 0.0000 0.5000 0.5000  3.12
Tc 0.5000 0.5000 0.0000  -0.45

***

Computed, not measured: an optimized crystal structure of CrCd2Tc at the PBE-GGA level of DFT.

Properties
- Symmetry: No. 99
- N(E_F): 3.3 states/eV per cell
- Energy above the most stable polymorph in this dataset: 0.000 eV/atom
- Theoretical density: 9.04 g cm⁻³

Unit cell a=3.0040 b=3.0040 c=7.6337 alpha=90.00 beta=90.00 gamma=90.00
Atoms (fractional coordinates):
Cd 0.0000 0.0000 0.9750
Cd 0.5000 0.5000 0.2825
Cr 0.0000 0.0000 0.5424
Tc 0.5000 0.5000 0.7001

***

Computed, not measured: an optimized crystal structure of CrCd2Tc at the PBE-GGA level of DFT.

Properties
- Symmetry: No. 122
- N(E_F): 6.2 states/eV per cell
- Energy above the most stable polymorph in this dataset: 0.699 eV/atom
- Theoretical density: 7.97 g cm⁻³

Unit cell a=7.6036 b=7.6036 c=6.0168 alpha=50.81 beta=50.81 gamma=90.00
Site moments in Bohr magnetons follow the coordinates.
Atoms (fractional coordinates):
Cr 0.5000 0.5000 0.0000  3.54
Cr 0.2500 0.7500 0.5000  3.54
Tc 0.0000 0.0000 0.0000  -1.26
Tc 0.7500 0.2500 0.5000  -1.26
Cd 0.6267 0.1250 0.2500  0.04
Cd 0.1233 0.6250 0.2500  0.04
Cd 0.3750 0.3733 0.7500  0.04
Cd 0.8750 0.8767 0.7500  0.04

***

Computed, not measured: an optimized crystal structure of CrCdTc2 at the PBE-GGA level of DFT.

Properties
- Symmetry: No. 35
- Electronic total energy: -7.43 eV per atom
- N(E_F): 4.6 states/eV per cell
- Theoretical density: 9.72 g cm⁻³

Unit cell a=2.7128 b=2.7128 c=9.0013 alpha=90.00 beta=90.00 gamma=111.59
Atoms (fractional coordinates):
Cd 0.0000 0.0000 0.5080
Cr 0.5000 0.5000 0.7763
Tc 0.0000 0.0000 0.9869
Tc 0.5000 0.5000 0.2287

***

Computed, not measured: an optimized crystal structure of CrCdTc2 at the PBE-GGA level of DFT.

Properties
- Symmetry: No. 166
- Electronic total energy: -7.53 eV per atom
- N(E_F): 3.7 states/eV per cell
- Theoretical density: 9.85 g cm⁻³

Unit cell a=9.2827 b=9.2827 c=9.2827 alpha=17.16 beta=17.16 gamma=17.16
Atoms (fractional coordinates):
Cd 0.2500 0.2500 0.2500
Cr 0.7500 0.7500 0.7500
Tc 0.0098 0.0098 0.0098
Tc 0.4902 0.4902 0.4902

***

Computed, not measured: an optimized crystal structure of CrCdTc2 at the PBE-GGA level of DFT.

Properties
- Symmetry: No. 160
- Electronic total energy: -7.47 eV per atom
- N(E_F): 4.1 states/eV per cell
- Theoretical density: 9.79 g cm⁻³

Unit cell a=9.3637 b=9.3637 c=9.3637 alpha=16.98 beta=16.98 gamma=16.98
Atoms (fractional coordinates):
Cd 0.4984 0.4984 0.4984
Cr 0.7439 0.7439 0.7439
Tc 0.0008 0.0008 0.0008
Tc 0.2569 0.2569 0.2569

***

Computed, not measured: an optimized crystal structure of CrCdTc2 at the PBE-GGA level of DFT.

Properties
- Symmetry: No. 44
- Electronic total energy: -7.38 eV per atom
- N(E_F): 4.1 states/eV per cell
- Theoretical density: 9.76 g cm⁻³

Unit cell a=5.2058 b=5.2058 c=5.2058 alpha=145.91 beta=128.37 gamma=63.33
Site moments in Bohr magnetons follow the coordinates.
Atoms (fractional coordinates):
Cd 0.4920 0.4920 0.0000  -0.01
Cr 0.2268 0.7268 0.5000  1.18
Tc 0.0119 0.0119 0.0000  -0.30
Tc 0.7694 0.2694 0.5000  -0.06

***

Computed, not measured: an optimized crystal structure of CrCd2Tc at the PBE-GGA level of DFT.

Properties
- Symmetry: No. 216
- N(E_F): 1.9 states/eV per cell
- Energy above the most stable polymorph in this dataset: 0.289 eV/atom
- Theoretical density: 8.93 g cm⁻³

Unit cell a=4.6198 b=4.6198 c=4.6198 alpha=60.00 beta=60.00 gamma=60.00
Site moments in Bohr magnetons follow the coordinates.
Atoms (fractional coordinates):
Cd 0.0000 0.0000 0.0000  -0.02
Cd 0.7500 0.7500 0.7500  0.01
Cr 0.5000 0.5000 0.5000  2.98
Tc 0.2500 0.2500 0.2500  -1.69

***

Computed, not measured: an optimized crystal structure of CrCd2Tc at the PBE-GGA level of DFT.

Properties
- Symmetry: No. 10
- N(E_F): 2.7 states/eV per cell
- Energy above the most stable polymorph in this dataset: 0.323 eV/atom
- Theoretical density: 8.96 g cm⁻³

Unit cell a=4.7061 b=2.8221 c=5.3683 alpha=77.10 beta=90.00 gamma=90.00
Site moments in Bohr magnetons follow the coordinates.
Atoms (fractional coordinates):
Cd 0.0000 0.0179 0.0003  -0.01
Cd 0.0000 0.4821 0.4997  -0.01
Cr 0.5000 0.2500 0.2500  3.09
Tc 0.5000 0.7500 0.7500  -0.68

***

Computed, not measured: an optimized crystal structure of CrCd2Tc at the PBE-GGA level of DFT.

Properties
- Symmetry: No. 123
- N(E_F): 4.4 states/eV per cell
- Energy above the most stable polymorph in this dataset: 0.447 eV/atom
- Theoretical density: 9.36 g cm⁻³

Unit cell a=2.7251 b=2.7251 c=8.9565 alpha=90.00 beta=90.00 gamma=90.00
Site moments in Bohr magnetons follow the coordinates.
Atoms (fractional coordinates):
Cd 0.0000 0.0000 0.0062  -0.01
Cd 0.0000 0.0000 0.4938  -0.01
Cr 0.5000 0.5000 0.2500  0.71
Tc 0.5000 0.5000 0.7500  0.37

***

Computed, not measured: an optimized crystal structure of CrCdTc2 at the PBE-GGA level of DFT.

Properties
- Symmetry: No. 216
- Electronic total energy: -7.33 eV per atom
- N(E_F): 3.5 states/eV per cell
- Theoretical density: 9.59 g cm⁻³

Unit cell a=4.4527 b=4.4527 c=4.4527 alpha=60.00 beta=60.00 gamma=60.00
Site moments in Bohr magnetons follow the coordinates.
Atoms (fractional coordinates):
Cd 0.5000 0.5000 0.5000  0.01
Cr 0.7500 0.7500 0.7500  2.76
Tc 0.0000 0.0000 0.0000  -0.47
Tc 0.2500 0.2500 0.2500  0.11

***

Computed, not measured: an optimized crystal structure of CrCd2Tc2 at the PBE-GGA level of DFT.

Properties
- Symmetry: No. 139
- N(E_F): 5.6 states/eV per cell
- Energy above the most stable polymorph in this dataset: 0.407 eV/atom
- Theoretical density: 8.14 g cm⁻³

Unit cell a=3.7975 b=3.7975 c=7.2064 alpha=74.72 beta=74.72 gamma=90.00
Site moments in Bohr magnetons follow the coordinates.
Atoms (fractional coordinates):
Cr 0.0000 0.0000 0.0000  3.31
Tc 0.4178 0.4178 0.1644  -0.39
Tc 0.5822 0.5822 0.8356  -0.39
Cd 0.7500 0.2500 0.5000  0.01
Cd 0.2500 0.7500 0.5000  0.01

***

Question: What is the N(E_F) in the third record?
Answer: 6.2 states/eV per cell

***

Question: The lowest N(E_F) belongs to which entry?
Answer: number 8

***

Question: Among the records above, which one has the lowest N(E_F)?
Answer: number 8

***

Question: Look up the theoretical density of the third one.
Answer: 7.97 g cm⁻³